Entry 1:
A geometry-optimized Pr8OsPt3Cl4 structure, computed with PBE-GGA.

The structure belongs to space group R-3m (No. 166, hexagonal axes); the cell edges are 8.4209, 8.4209 and 22.6036 Å and the angles 90.00°, 90.00° and 120.00°. Symmetry generates all atoms from Pr at (0.0000, 0.0000, 0.2354), Pr at (0.0097, 0.5049, 0.2358), Os at (0.0000, 0.0000, 0.5000), Pt at (0.0000, 0.5000, 0.5000), Cl at (0.0000, 0.0000, 0.0000) and Cl at (0.0000, 0.5000, 0.0000).

Its total energy is -5.903 eV/atom. The calculation puts the density of states at the Fermi level at 8.944 states/eV/f.u. As for the uncorrected formation energy: -1.217 eV/atom.

---

Entry 2:
A geometry-optimized LiYLuPd structure, computed with PBE-GGA.

The structure belongs to space group F-43m (No. 216); the cell edges are 7.044, 7.044 and 7.044 Å and the angles 90.00°, 90.00° and 90.00°. Symmetry generates all atoms from Li at (0.000, 0.000, 0.000), Y at (0.250, 0.250, 0.250), Lu at (0.250, 0.250, 0.750) and Pd at (0.000, 0.000, 0.500).

Its total energy is -4.965 eV/atom. The value obtained for the energy of formation from the pure elements is -442 meV/atom. The calculation puts the density of states at the Fermi level at 2.416 states/eV/f.u.

---

Entry 3:
A geometry-optimized Pr6Tc2Hg structure, computed with PBE-GGA.

The structure belongs to space group Immm (No. 71); the cell edges are 9.957, 10.176 and 10.559 Å and the angles 90.00°, 90.00° and 90.00°. Symmetry generates all atoms from Pr at (0.000, 0.215, 0.223), Pr at (0.213, 0.310, 0.500), Pr at (0.213, 0.500, 0.185), Tc at (0.000, 0.383, 0.000), Tc at (0.000, 0.500, 0.388), Hg at (0.000, 0.000, 0.000) and Hg at (0.000, 0.000, 0.500).

Its total energy is -5.587 eV/atom. The value obtained for the energy of formation from the pure elements is -63 meV/atom. The calculation puts the density of states at the Fermi level at 9.162 states/eV/f.u.

---

Please write out number 3 again, unchanged.
A geometry-optimized Pr6Tc2Hg structure, computed with PBE-GGA.

The structure belongs to space group Immm (No. 71); the cell edges are 9.957, 10.176 and 10.559 Å and the angles 90.00°, 90.00° and 90.00°. Symmetry generates all atoms from Pr at (0.000, 0.215, 0.223), Pr at (0.213, 0.310, 0.500), Pr at (0.213, 0.500, 0.185), Tc at (0.000, 0.383, 0.000), Tc at (0.000, 0.500, 0.388), Hg at (0.000, 0.000, 0.000) and Hg at (0.000, 0.000, 0.500).

Its total energy is -5.587 eV/atom. The value obtained for the energy of formation from the pure elements is -63 meV/atom. The calculation puts the density of states at the Fermi level at 9.162 states/eV/f.u.

---

What is the formula in the third record? Pr6Tc2Hg

---

Repeat the third record exactly.
A geometry-optimized Pr6Tc2Hg structure, computed with PBE-GGA.

The structure belongs to space group Immm (No. 71); the cell edges are 9.957, 10.176 and 10.559 Å and the angles 90.00°, 90.00° and 90.00°. Symmetry generates all atoms from Pr at (0.000, 0.215, 0.223), Pr at (0.213, 0.310, 0.500), Pr at (0.213, 0.500, 0.185), Tc at (0.000, 0.383, 0.000), Tc at (0.000, 0.500, 0.388), Hg at (0.000, 0.000, 0.000) and Hg at (0.000, 0.000, 0.500).

Its total energy is -5.587 eV/atom. The value obtained for the energy of formation from the pure elements is -63 meV/atom. The calculation puts the density of states at the Fermi level at 9.162 states/eV/f.u.